No. 1
Compound: GaNiHgC
Source: Alexandria via LeMat-Bulk
Functional: GGA-PBE
Structure: relaxed

Output
The space-group type is Cm, No. 8. The calculation puts the formation energy at 533 meV/atom.

a = 2.9376 Å, b = 2.9376 Å, c = 8.4155 Å
α = 98.80°, β = 98.80°, γ = 61.89°
Closest atoms and distances in Å follow each position.
Element x y z (fractional)
Ga  0.0000  0.0000  0.0000  1 C 2.07
Ni  0.5460  0.5460  0.6591  3 C 1.87
Hg  0.1256  0.1256  0.3576  6 Hg 2.94-3.02, 1 Ga 2.96, 3 Ni 3.00-3.04
C  0.9126  0.9126  0.7504  3 Ni 1.87, 1 Ga 2.07

***

No. 2
Compound: Sm2Si3Pd2
Source: Alexandria via LeMat-Bulk
Functional: GGA-PBE
Structure: relaxed

Output
The space-group type is Cmcm, No. 63. The value obtained for the uncorrected formation energy is -0.896 eV/atom.

a = 9.2370 Å, b = 9.2370 Å, c = 6.9572 Å
α = 90.00°, β = 90.00°, γ = 153.48°
Closest atoms and distances in Å follow each position.
Element x y z (fractional)
Sm  0.0547  0.9453  0.7500  9 Si 3.05-3.20
Sm  0.1544  0.8456  0.2500  6 Si 2.99-3.04, 6 Pd 3.04-3.09
Sm  0.8456  0.1544  0.7500  6 Si 2.99-3.04, 6 Pd 3.04-3.09
Sm  0.9453  0.0547  0.2500  9 Si 3.05-3.20
Si  0.2243  0.7757  0.7500  6 Pd 2.56-2.60
Si  0.4405  0.5595  0.5729  2 Si 2.37-2.46, 1 Pd 2.54
Si  0.4405  0.5595  0.9271  2 Si 2.37-2.46, 1 Pd 2.54
Si  0.5595  0.4405  0.0729  2 Si 2.37-2.46, 1 Pd 2.54
Si  0.5595  0.4405  0.4271  2 Si 2.37-2.46, 1 Pd 2.54
Si  0.7757  0.2243  0.2500  6 Pd 2.56-2.60
Pd  0.3075  0.6925  0.0486  4 Si 2.54-2.60, 1 Pd 2.80
Pd  0.3075  0.6925  0.4514  4 Si 2.54-2.60, 1 Pd 2.80
Pd  0.6925  0.3075  0.5486  4 Si 2.54-2.60, 1 Pd 2.80
Pd  0.6925  0.3075  0.9514  4 Si 2.54-2.60, 1 Pd 2.80

***

No. 3
Compound: Nd3Dy2YEr6
Source: Alexandria via LeMat-Bulk
Functional: GGA-PBE
Structure: relaxed

Output
The space-group type is C2/m, No. 12. The calculation puts the formation energy at 21 meV/atom.

a = 6.1777 Å, b = 6.1777 Å, c = 11.7560 Å
α = 95.01°, β = 95.01°, γ = 119.97°
Closest atoms and distances in Å follow each position.
Element x y z (fractional)
Nd  0.0000  0.0000  0.0000  6 Nd 3.57, 6 Er 3.58
Nd  0.3334  0.6666  0.0000  6 Nd 3.57, 6 Er 3.58
Nd  0.6666  0.3334  0.0000  6 Nd 3.57, 6 Er 3.58
Dy  0.1666  0.8334  0.5000  6 Er 3.52, 3 Dy 3.56-3.57, 3 Y 3.57
Dy  0.8334  0.1666  0.5000  6 Er 3.52, 3 Dy 3.56-3.57, 3 Y 3.57
Y  0.5000  0.5000  0.5000  6 Er 3.52-3.53, 6 Dy 3.57
Er  0.0837  0.4178  0.2531  2 Dy 3.52, 1 Y 3.53, 6 Er 3.56-3.58, 3 Nd 3.58
Er  0.2481  0.2481  0.7469  2 Dy 3.52, 1 Y 3.52, 6 Er 3.56-3.58, 3 Nd 3.58
Er  0.4178  0.0837  0.2531  2 Dy 3.52, 1 Y 3.53, 6 Er 3.56-3.58, 3 Nd 3.58
Er  0.5822  0.9163  0.7469  2 Dy 3.52, 1 Y 3.53, 6 Er 3.56-3.58, 3 Nd 3.58
Er  0.7519  0.7519  0.2531  2 Dy 3.52, 1 Y 3.52, 6 Er 3.56-3.58, 3 Nd 3.58
Er  0.9163  0.5822  0.7469  2 Dy 3.52, 1 Y 3.53, 6 Er 3.56-3.58, 3 Nd 3.58

***

No. 4
Compound: Ac2NpScSe6
Source: Alexandria via LeMat-Bulk
Functional: GGA-PBE
Structure: relaxed

Output
The space-group type is R3, No. 146. The value obtained for the uncorrected formation energy is -1.655 eV/atom.

a = 7.7183 Å, b = 7.7183 Å, c = 7.7183 Å
α = 58.15°, β = 58.15°, γ = 58.15°
Closest atoms and distances in Å follow each position.
Element x y z (fractional)
Ac  0.0000  0.0000  0.0000  6 Se 3.11-3.18
Ac  0.4983  0.4983  0.4983  6 Se 3.09-3.19
Np  0.2880  0.2880  0.2880  6 Se 2.86-2.91
Sc  0.7890  0.7890  0.7890  6 Se 2.71-2.75
Se  0.0516  0.4431  0.6519  1 Sc 2.71, 1 Np 2.91
Se  0.1386  0.9264  0.5695  1 Sc 2.75, 1 Np 2.86
Se  0.4431  0.6519  0.0516  1 Sc 2.71, 1 Np 2.91
Se  0.5695  0.1386  0.9264  1 Sc 2.75, 1 Np 2.86
Se  0.6519  0.0516  0.4431  1 Sc 2.71, 1 Np 2.91
Se  0.9264  0.5695  0.1386  1 Sc 2.75, 1 Np 2.86